# 1
Sb3BrCl: optimized geometry, GGA-PBE.

Values from the calculation:
SG = Pm-3m, No. 221
uncorrected formation energy = 0.783 eV per atom
relative energy among the computed polymorphs = 0.0000 eV/atom

Lattice parameters (Å, degrees): 5.429 5.429 5.429 90.00 90.00 90.00
Element x y z (fractional)
1 Sb 0.000 0.000 0.500
2 Sb 0.000 0.500 0.000
3 Sb 0.500 0.000 0.000
4 Br 0.500 0.500 0.500
5 Cl 0.000 0.000 0.000

# 2
PuSn5: optimized geometry, GGA-PBE.

Values from the calculation:
SG = Cmmm, No. 65
energy of formation = -141 meV/atom

Lattice parameters (Å, degrees): 7.833 7.833 4.472 90.00 90.00 144.62
Element x y z (fractional)
1 Pu 0.000 0.000 0.000
2 Sn 0.170 0.830 0.500
3 Sn 0.344 0.656 0.000
4 Sn 0.500 0.500 0.500
5 Sn 0.656 0.344 0.000
6 Sn 0.830 0.170 0.500

# 3
KNbAg2Te4: optimized geometry, GGA-PBE.

Values from the calculation:
SG = I222, No. 23
uncorrected formation energy = -0.307 eV per atom

Lattice parameters (Å, degrees): 7.259 7.259 7.259 122.05 107.74 99.48
Element x y z (fractional)
1 K 0.000 0.000 0.000
2 Nb 0.500 0.500 0.000
3 Ag 0.346 0.846 0.500
4 Ag 0.654 0.154 0.500
5 Te 0.141 0.138 0.611
6 Te 0.473 0.862 0.002
7 Te 0.527 0.530 0.389
8 Te 0.859 0.470 0.998

# 4
YIn: optimized geometry, GGA-PBE.

Values from the calculation:
SG = Fd-3m, No. 227
energy of formation = -5 meV/atom

Lattice parameters (Å, degrees): 5.383 5.383 5.383 60.00 60.00 60.00
Element x y z (fractional)
1 Y 0.125 0.125 0.125
2 Y 0.875 0.875 0.875
3 In 0.375 0.375 0.375
4 In 0.625 0.625 0.625

Copy entry 4 word for word.
YIn: optimized geometry, GGA-PBE.

Values from the calculation:
SG = Fd-3m, No. 227
energy of formation = -5 meV/atom

Lattice parameters (Å, degrees): 5.383 5.383 5.383 60.00 60.00 60.00
Element x y z (fractional)
1 Y 0.125 0.125 0.125
2 Y 0.875 0.875 0.875
3 In 0.375 0.375 0.375
4 In 0.625 0.625 0.625